Record 1
BaCuC3 after structural relaxation. Source: Alexandria, functional PBE.

- energy of formation (eV per atom) = 2.1535
- space-group type = Pm-3m (221)
- calculated volume (A^3/atom) = 14.4
- excess energy over the best structure of this formula in the dataset (meV per atom) = 0

Cell lengths 4.157, 4.157, 4.157 Å; angles 90.00, 90.00, 90.00 degrees
Atoms (fractional coordinates):
1 Ba 0.000 0.000 0.000
2 Cu 0.500 0.500 0.500
3 C 0.000 0.500 0.500
4 C 0.500 0.000 0.500
5 C 0.500 0.500 0.000

Record 2
ZnAgMo2 after structural relaxation. Source: Alexandria, functional PBE.

- energy of formation (eV per atom) = 0.3239
- space-group type = Pmm2 (25)
- calculated volume (A^3/atom) = 16.0

Cell lengths 2.669, 4.183, 5.741 Å; angles 90.00, 90.00, 90.00 degrees
Atoms (fractional coordinates):
1 Zn 0.000 0.000 0.000
2 Ag 0.500 0.500 0.234
3 Mo 0.000 0.000 0.514
4 Mo 0.500 0.500 0.742

Record 3
CuRhBr2 after structural relaxation. Source: Alexandria, functional PBE.

- space-group type = P2/m (10)
- calculated volume (A^3/atom) = 25.6
- excess energy over the best structure of this formula in the dataset (meV per atom) = 134

Cell lengths 5.155, 3.639, 5.497 Å; angles 90.00, 95.71, 90.00 degrees
Atoms (fractional coordinates):
1 Cu 0.000 0.000 0.000
2 Rh 0.500 0.000 0.000
3 Br 0.272 0.500 0.755
4 Br 0.728 0.500 0.245

Record 4
CdAg14Pd after structural relaxation. Source: Alexandria, functional PBE.

- energy of formation (eV per atom) = -0.0086
- space-group type = Amm2 (38)
- calculated volume (A^3/atom) = 17.9

Cell lengths 9.548, 5.892, 5.892 Å; angles 59.50, 90.00, 90.00 degrees
Atoms (fractional coordinates):
1 Cd 0.000 0.000 0.000
2 Ag 0.000 0.000 0.499
3 Ag 0.000 0.499 0.000
4 Ag 0.248 0.664 0.664
5 Ag 0.250 0.167 0.663
6 Ag 0.250 0.663 0.167
7 Ag 0.252 0.166 0.166
8 Ag 0.500 0.330 0.330
9 Ag 0.500 0.331 0.830
10 Ag 0.500 0.830 0.331
11 Ag 0.500 0.830 0.830
12 Ag 0.748 0.166 0.166
13 Ag 0.750 0.167 0.663
14 Ag 0.750 0.663 0.167
15 Ag 0.752 0.664 0.664
16 Pd 0.000 0.499 0.499

no.,total magnetization (μB/f.u.)
1,0.0
2,0.0
3,0.0
4,0.0